(1)
5
Lattice="3.362 0.000 0.000 0.000 3.362 0.000 0.000 0.000 5.573" Properties=species:S:1:pos:R:3 comment="SCAN AgPSN2, PBEsol geometry" spacegroup="No. 123" e_tot_ev_per_atom=-13.326 volume_a3_per_atom=12.597 total_magnetization_mub_per_fu=0.28 pbc="T T T"
Ag 0.000 0.000 0.000
P 1.681 1.681 2.786
S 1.681 1.681 0.000
N 0.000 1.681 2.786
N 1.681 0.000 2.786

***

(2)
12
Lattice="3.270 0.000 0.000 -1.635 2.832 0.000 0.000 0.000 19.857" Properties=species:S:1:pos:R:3 comment="SCAN AgPbN2, PBEsol geometry" spacegroup="No. 166" e_tot_ev_per_atom=-30.041 volume_a3_per_atom=15.323 total_magnetization_mub_per_fu=0.00 pbc="T T T"
Ag 0.000 0.000 0.000
Ag 0.000 1.888 13.238
Ag 1.635 0.944 6.619
Pb 0.000 0.000 9.928
Pb 0.000 1.888 3.310
Pb 1.635 0.944 16.547
N 0.000 0.000 7.578
N 0.000 0.000 12.279
N 0.000 1.888 0.959
N 0.000 1.888 5.660
N 1.635 0.944 14.197
N 1.635 0.944 18.898

***

Copy entry 2 word for word.
12
Lattice="3.270 0.000 0.000 -1.635 2.832 0.000 0.000 0.000 19.857" Properties=species:S:1:pos:R:3 comment="SCAN AgPbN2, PBEsol geometry" spacegroup="No. 166" e_tot_ev_per_atom=-30.041 volume_a3_per_atom=15.323 total_magnetization_mub_per_fu=0.00 pbc="T T T"
Ag 0.000 0.000 0.000
Ag 0.000 1.888 13.238
Ag 1.635 0.944 6.619
Pb 0.000 0.000 9.928
Pb 0.000 1.888 3.310
Pb 1.635 0.944 16.547
N 0.000 0.000 7.578
N 0.000 0.000 12.279
N 0.000 1.888 0.959
N 0.000 1.888 5.660
N 1.635 0.944 14.197
N 1.635 0.944 18.898

***

Number 2 is which compound? AgPbN2